[1]
{
  "formula": "PrAlCu",
  "functional": "PBE-GGA",
  "state": "relaxed",
  "ef_mev_per_atom": 138,
  "lattice_angstrom": [[7.502, 0.000, 0.000], [-3.751, 6.497, 0.000], [0.000, 0.000, 4.642]],
  "species": ["Pr", "Pr", "Pr", "Al", "Al", "Al", "Cu", "Cu", "Cu"],
  "frac_coords": [[0.000, 0.000, 0.000], [0.333, 0.667, 0.500], [0.667, 0.333, 0.500], [0.000, 0.229, 0.500], [0.229, 0.000, 0.500], [0.771, 0.771, 0.500], [0.000, 0.396, 0.000], [0.396, 0.000, 0.000], [0.604, 0.604, 0.000]]
}

=====

[2]
{
  "formula": "CdPd5Au4",
  "functional": "PBE-GGA",
  "state": "relaxed",
  "ef_mev_per_atom": -25,
  "e_above_lowest_polymorph_ev_per_fu": 1.19,
  "lattice_angstrom": [[8.314, 0.000, 0.000], [0.000, 9.287, 0.000], [0.000, 0.000, 4.788]],
  "species": ["Cd", "Cd", "Pd", "Pd", "Pd", "Pd", "Pd", "Pd", "Pd", "Pd", "Pd", "Pd", "Au", "Au", "Au", "Au", "Au", "Au", "Au", "Au"],
  "frac_coords": [[0.250, 0.250, 0.137], [0.750, 0.750, 0.863], [0.082, 0.505, 0.246], [0.082, 0.995, 0.246], [0.250, 0.750, 0.079], [0.418, 0.505, 0.246], [0.418, 0.995, 0.246], [0.582, 0.005, 0.754], [0.582, 0.495, 0.754], [0.750, 0.250, 0.921], [0.918, 0.005, 0.754], [0.918, 0.495, 0.754], [0.064, 0.750, 0.580], [0.250, 0.012, 0.745], [0.250, 0.488, 0.745], [0.436, 0.750, 0.580], [0.564, 0.250, 0.420], [0.750, 0.512, 0.255], [0.750, 0.988, 0.255], [0.936, 0.250, 0.420]]
}

=====

[3]
{
  "formula": "Li2CaSi",
  "functional": "PBE-GGA",
  "state": "relaxed",
  "formation_energy_uncorrected_ev_per_atom": -0.107,
  "lattice_angstrom": [[3.461, 0.000, 0.000], [0.000, 4.784, 0.000], [-0.440, 0.000, 5.150]],
  "species": ["Li", "Li", "Ca", "Si"],
  "frac_coords": [[0.193, 0.000, 0.309], [0.807, 0.000, 0.691], [0.500, 0.500, 0.000], [0.000, 0.500, 0.500]]
}